# Na2AsOsRh

A geometry-optimized Na2AsOsRh structure (PBE, Alexandria).

extended XYZ file:
```
5
Lattice="5.394 0.000 0.000 0.000 5.394 0.000 0.000 0.000 4.572" Properties=species:S:1:pos:R:3 pbc="T T T"
Na 0.000 2.697 0.000
Na 2.697 0.000 0.000
As 0.000 0.000 2.286
Os 0.000 0.000 0.000
Rh 2.697 2.697 2.286
```

Calculated values
* ρ: 5.169 Mg/m³
* ΔH_f (0 K): 1167 meV per atom
* E_tot: -20.03 eV per cell
* space-group type: P4/mmm (123)